Record 1
{
  "formula": "LaThPt",
  "functional": "PBE-GGA",
  "state": "relaxed",
  "lattice": [[5.244, 0.000, 0.000], [0.000, 5.244, 0.000], [0.000, 0.000, 6.812]],
  "species": ["La", "La", "Th", "Th", "Pt", "Pt"],
  "fractional_positions": [[0.250, 0.250, 0.112], [0.750, 0.750, 0.888], [0.250, 0.750, 0.500], [0.750, 0.250, 0.500], [0.250, 0.250, 0.685], [0.750, 0.750, 0.315]],
  "crystal_system": "tetragonal",
  "spacegroup": "P4/nmm",
  "dos_at_fermi_per_ev_cell": 6.89,
  "polymorph_energy_ev_per_atom": 0.000,
  "total_magnetization_mub_per_cell": 0.00,
  "vol_a3_per_atom": 31.22
}

=====

Record 2
{
  "formula": "Ca2AlSi",
  "functional": "PBE-GGA",
  "state": "relaxed",
  "lattice": [[3.242, -4.475, 0.000], [3.242, 4.475, 0.000], [0.000, 0.000, 3.215]],
  "species": ["Ca", "Ca", "Al", "Si"],
  "fractional_positions": [[0.000, 0.500, 0.000], [0.500, 0.000, 0.000], [0.000, 0.000, 0.500], [0.500, 0.500, 0.500]],
  "crystal_system": "orthorhombic",
  "spacegroup": "Cmmm",
  "dos_at_fermi_per_ev_cell": 2.02,
  "e_form_raw_mev_per_atom": -193,
  "total_magnetization_mub_per_cell": 0.00,
  "vol_a3_per_atom": 23.32
}

=====

Record 3
{
  "formula": "ErHfSi2",
  "functional": "PBE-GGA",
  "state": "relaxed",
  "lattice": [[3.750, 0.000, 0.000], [0.000, 5.449, 0.000], [0.000, 0.000, 7.391]],
  "species": ["Er", "Er", "Hf", "Hf", "Si", "Si", "Si", "Si"],
  "fractional_positions": [[0.000, 0.129, 0.000], [0.000, 0.871, 0.500], [0.500, 0.373, 0.358], [0.500, 0.627, 0.858], [0.000, 0.391, 0.637], [0.000, 0.609, 0.137], [0.500, 0.122, 0.717], [0.500, 0.878, 0.217]],
  "crystal_system": "orthorhombic",
  "spacegroup": "Pmc2_1",
  "dos_at_fermi_per_ev_cell": 1.59,
  "polymorph_energy_ev_per_atom": 0.000,
  "e_form_raw_mev_per_atom": -769,
  "total_magnetization_mub_per_cell": 0.00,
  "vol_a3_per_atom": 18.88
}

=====

Record 4
{
  "formula": "TbEr2Cd",
  "functional": "PBE-GGA",
  "state": "relaxed",
  "lattice": [[3.559, 0.000, 0.000], [0.000, 3.559, 0.000], [0.000, 0.000, 9.015]],
  "species": ["Tb", "Er", "Er", "Cd"],
  "fractional_positions": [[0.000, 0.000, 0.000], [0.500, 0.500, 0.273], [0.500, 0.500, 0.727], [0.000, 0.000, 0.500]],
  "crystal_system": "tetragonal",
  "spacegroup": "P4/mmm",
  "dos_at_fermi_per_ev_cell": 4.41,
  "polymorph_energy_ev_per_atom": 0.000,
  "total_magnetization_mub_per_cell": 0.00,
  "vol_a3_per_atom": 28.55
}

=====

Record 5
{
  "formula": "TlAgHg2",
  "functional": "PBE-GGA",
  "state": "relaxed",
  "lattice": [[0.000, 3.698, 3.698], [3.698, 0.000, 3.698], [3.698, 3.698, 0.000]],
  "species": ["Tl", "Ag", "Hg", "Hg"],
  "fractional_positions": [[0.000, 0.000, 0.000], [0.750, 0.750, 0.750], [0.250, 0.250, 0.250], [0.500, 0.500, 0.500]],
  "crystal_system": "cubic",
  "spacegroup": "F-43m",
  "dos_at_fermi_per_ev_cell": 1.59,
  "total_magnetization_mub_per_cell": 0.00,
  "energy_ev_per_fu": -5.41,
  "vol_a3_per_atom": 25.28
}

=====

Record 6
{
  "formula": "DyY8Ho5",
  "functional": "PBE-GGA",
  "state": "relaxed",
  "lattice": [[-4.775, 4.775, 5.055], [4.775, -4.775, 5.055], [4.775, 4.775, -5.055]],
  "species": ["Dy", "Y", "Y", "Y", "Y", "Y", "Y", "Y", "Y", "Ho", "Ho", "Ho", "Ho", "Ho"],
  "fractional_positions": [[0.000, 0.000, 0.000], [0.089, 0.329, 0.412], [0.275, 0.168, 0.752], [0.323, 0.911, 0.240], [0.417, 0.523, 0.248], [0.477, 0.725, 0.894], [0.671, 0.083, 0.760], [0.832, 0.583, 0.106], [0.917, 0.677, 0.588], [0.036, 0.434, 0.821], [0.250, 0.750, 0.500], [0.566, 0.387, 0.601], [0.613, 0.215, 0.179], [0.785, 0.964, 0.399]],
  "crystal_system": "tetragonal",
  "spacegroup": "I-4",
  "dos_at_fermi_per_ev_cell": 21.88,
  "total_magnetization_mub_per_cell": 0.00,
  "energy_ev_per_fu": -75.68,
  "vol_a3_per_atom": 32.93
}